! BaYW4O7 GGA+U relaxed; values from VASP
&SYSTEM
  ibrav = 0, nat = 26, ntyp = 4
/
ATOMIC_SPECIES
Ba 137.33 Ba.upf
Y 88.91 Y.upf
W 183.84 W.upf
O 16.00 O.upf
CELL_PARAMETERS angstrom
6.3569 0.0000 0.0000
-3.1784 5.5052 0.0000
0.0000 0.0000 11.5489
ATOMIC_POSITIONS crystal
Ba 0.3333 0.6667 0.0000
Ba 0.6667 0.3333 0.5000
Y 0.3333 0.6667 0.3859
Y 0.6667 0.3333 0.8859
W 0.0000 0.0000 0.0238
W 0.0000 0.0000 0.5238
W 0.1676 0.3353 0.7046
W 0.1676 0.8324 0.7046
W 0.3353 0.1676 0.2046
W 0.6647 0.8324 0.7046
W 0.8324 0.1676 0.2046
W 0.8324 0.6647 0.2046
O 0.0000 0.0000 0.3229
O 0.0000 0.0000 0.8229
O 0.0372 0.5186 0.8130
O 0.1802 0.3605 0.5220
O 0.1802 0.8198 0.5220
O 0.3605 0.1802 0.0220
O 0.4814 0.5186 0.8130
O 0.4814 0.9628 0.8130
O 0.5186 0.0372 0.3130
O 0.5186 0.4814 0.3130
O 0.6395 0.8198 0.5220
O 0.8198 0.1802 0.0220
O 0.8198 0.6395 0.0220
O 0.9628 0.4814 0.3130
! final energy: -186.20 eV for the cell shown
! SG: P6_3mc (186)
! magnetization: 5.00 μB/f.u.